[1]
Entry from the Alexandria database: crystalline Er12Co3H5 at its relaxed geometry (PBE-GGA).

ρ (Mg/m³): 9.1
E_tot (eV/f.u.): -97.45

a b c (Å): 14.7251 14.7251 14.7251
angles (deg): 90.00 90.00 90.00
Last column: nearest neighbours and their distance in Å.
Space group Ia-3d (No. 230)
One atom of each set of equivalent atoms:
Er (0.0333, 0.0620, 0.6559) x96  1 H 2.14
Co (0.0000, 0.2500, 0.1250) x24  8 Er 2.85-2.86
H (0.0000, 0.0000, 0.0000) x16  6 Er 2.52
H (0.0000, 0.2500, 0.3750) x24  4 Er 2.14

=====

[2]
Entry from the Alexandria database: crystalline Li3Np2TiSe6 at its relaxed geometry (PBE-GGA).

Energy relative to the elements, uncorrected (eV per formula unit): -14.30
ρ (Mg/m³): 6.4

a b c (Å): 6.8364 11.8448 6.8907
angles (deg): 90.00 109.38 90.00
Last column: nearest neighbours and their distance in Å.
Space group C2/m (No. 12)
One atom of each set of equivalent atoms:
Li (0.0000, 0.0000, 0.0000) x2  6 Se 2.74-2.92
Li (0.0000, 0.3336, 0.0000) x4  6 Se 2.74-2.90
Np (0.0000, 0.1672, 0.5000) x4  6 Se 2.85-2.86
Ti (0.0000, 0.5000, 0.5000) x2  6 Se 2.68-2.70
Se (0.2308, 0.5000, 0.2518) x4  1 Ti 2.68, 3 Li 2.75-2.92, 2 Np 2.85
Se (0.2414, 0.3431, 0.7521) x8  1 Ti 2.70, 3 Li 2.74-2.90, 2 Np 2.86

=====

[3]
Entry from the Alexandria database: crystalline CaAu at its relaxed geometry (PBE-GGA).

ΔE_f (meV per atom): -694
ρ (Mg/m³): 7.8

a b c (Å): 5.8681 5.8681 5.8681
angles (deg): 90.00 90.00 90.00
Last column: nearest neighbours and their distance in Å.
Space group P2_13 (No. 198)
One atom of each set of equivalent atoms:
Ca (0.0771, 0.0771, 0.0771) x4  6 Au 3.06-3.09
Au (0.0803, 0.5803, 0.9197) x4  6 Ca 3.06-3.09

=====

[4]
Entry from the Alexandria database: crystalline Ac2SbRhO6 at its relaxed geometry (PBE-GGA).

Energy relative to the elements, uncorrected (eV per formula unit): -20.37
ρ (Mg/m³): 8.5

a b c (Å): 5.8139 8.4212 6.1702
angles (deg): 90.00 90.00 90.00
Last column: nearest neighbours and their distance in Å.
Space group Pmmn (No. 59, origin choice 2)
One atom of each set of equivalent atoms:
Ac (0.2500, 0.0261, 0.2095) x4  5 O 2.59-2.75
Sb (0.2500, 0.2500, 0.7166) x2  6 O 2.14-2.22
Rh (0.2500, 0.7500, 0.7737) x2  6 O 2.07-2.08
O (0.0063, 0.2500, 0.9945) x4  1 Rh 2.07, 1 Sb 2.22
O (0.0177, 0.2500, 0.4479) x4  1 Rh 2.07, 1 Sb 2.14
O (0.2500, 0.5039, 0.7919) x4  1 Rh 2.08, 1 Sb 2.19

=====

[5]
Entry from the Alexandria database: crystalline La2Nd2YAg5 at its relaxed geometry (PBE-GGA).

ΔE_f (meV per atom): -126
ρ (Mg/m³): 7.4

a b c (Å): 11.1450 11.1450 4.3166
angles (deg): 90.00 90.00 90.00
Last column: nearest neighbours and their distance in Å.
Space group P4/mbm (No. 127)
One atom of each set of equivalent atoms:
La (0.1727, 0.3273, 0.0000) x4  3 Nd 3.11-3.41, 2 Ag 3.47
Nd (0.1301, 0.6301, 0.0000) x4  6 Ag 2.98-3.09, 1 La 3.11
Y (0.0000, 0.0000, 0.0000) x2  8 Ag 3.05
Ag (0.0000, 0.5000, 0.5000) x2  4 Nd 2.98
Ag (0.0609, 0.8161, 0.5000) x8  2 Y 3.05, 2 Ag 3.05, 2 Nd 3.09

=====

[6]
Entry from the Alexandria database: crystalline CuC at its relaxed geometry (PBE-GGA).

Energy relative to the lowest polymorph listed for this composition (meV per atom): 1416
ΔE_f (meV per atom): 1636
ρ (Mg/m³): 6.2

a b c (Å): 2.6660 2.6660 5.6537
angles (deg): 90.00 90.00 90.00
Last column: nearest neighbours and their distance in Å.
Space group I4mm (No. 107)
One atom of each set of equivalent atoms:
Cu (0.0000, 0.0000, 0.0000) x2  5 C 2.04-2.05
C (0.0000, 0.0000, 0.3627) x2  5 Cu 2.04-2.05

=====

[7]
Entry from the Alexandria database: crystalline RePtW3 at its relaxed geometry (PBE-GGA).

Energy relative to the lowest polymorph listed for this composition (meV per atom): 510
ΔE_f (meV per atom): 2489
ρ (Mg/m³): 14.9

a b c (Å): 4.6990 4.6990 4.6990
angles (deg): 90.00 90.00 90.00
Last column: nearest neighbours and their distance in Å.
Space group Pm-3m (No. 221)
One atom of each set of equivalent atoms:
Re (0.0000, 0.0000, 0.0000) x1  12 W 3.32
Pt (0.5000, 0.5000, 0.5000) x1  6 W 2.35
W (0.0000, 0.5000, 0.5000) x3  2 Pt 2.35

=====

[8]
Entry from the Alexandria database: crystalline CeEuCdGa at its relaxed geometry (PBE-GGA).

ΔE_f (meV per atom): -315
ρ (Mg/m³): 7.2

a b c (Å): 7.5854 7.5854 7.5854
angles (deg): 90.00 90.00 90.00
Last column: nearest neighbours and their distance in Å.
Space group F-43m (No. 216)
One atom of each set of equivalent atoms:
Ce (0.0000, 0.0000, 0.0000) x4  4 Cd 3.28, 4 Ga 3.28
Eu (0.0000, 0.0000, 0.5000) x4  4 Cd 3.28, 4 Ga 3.28
Cd (0.2500, 0.2500, 0.7500) x4  4 Ce 3.28, 4 Eu 3.28
Ga (0.2500, 0.2500, 0.2500) x4  4 Eu 3.28, 4 Ce 3.28

=====

[9]
Entry from the Alexandria database: crystalline Pu2TlS at its relaxed geometry (PBE-GGA).

Energy relative to the lowest polymorph listed for this composition (meV per atom): 0
Energy relative to the elements, uncorrected (eV per formula unit): -2.94
ρ (Mg/m³): 11.6

a b c (Å): 3.6629 3.6629 26.7713
angles (deg): 90.00 90.00 120.00
Last column: nearest neighbours and their distance in Å.
Space group R3m (No. 160, hexagonal axes)
One atom of each set of equivalent atoms:
Pu (0.0000, 0.0000, 0.0000) x3  3 S 2.75
Pu (0.0000, 0.0000, 0.2019) x3  3 S 2.75
Tl (0.0000, 0.0000, 0.4349) x3  6 Pu 3.42-3.45, 6 Tl 3.66
S (0.0000, 0.0000, 0.6009) x3  6 Pu 2.75

=====

[10]
Entry from the Alexandria database: crystalline Hg2PBr at its relaxed geometry (PBE-GGA).

Energy relative to the lowest polymorph listed for this composition (meV per atom): 355
Energy relative to the elements, uncorrected (eV per formula unit): 0.64
ρ (Mg/m³): 7.7

a b c (Å): 5.2523 4.3292 5.5199
angles (deg): 90.00 118.25 90.00
Last column: nearest neighbours and their distance in Å.
Space group P2/m (No. 10)
One atom of each set of equivalent atoms:
Hg (0.1718, 0.0000, 0.3427) x2  2 P 2.73, 2 Hg 3.04
P (0.0000, 0.5000, 0.0000) x1  2 Br 2.63, 4 Hg 2.73
Br (0.5000, 0.5000, 0.0000) x1  2 P 2.63

=====

[11]
Entry from the Alexandria database: crystalline Ti4Tl2O9 at its relaxed geometry (PBE-GGA).

Energy relative to the elements, uncorrected (eV per formula unit): -38.81
ρ (Mg/m³): 5.6

a b c (Å): 19.8529 3.7966 12.2057
angles (deg): 90.00 107.61 90.00
Last column: nearest neighbours and their distance in Å.
Space group C2/m (No. 12)
One atom of each set of equivalent atoms:
Ti (0.1314, 0.0000, 0.3600) x4  1 O 1.74
Ti (0.1661, 0.0000, 0.1210) x4  4 O 1.80-1.98
Ti (0.2044, 0.0000, 0.8963) x4  4 O 1.82-1.97
Ti (0.2455, 0.0000, 0.6683) x4  3 O 1.78-1.96
Tl (0.0076, 0.5000, 0.8197) x4  4 O 2.76-2.96
Tl (0.0865, 0.5000, 0.5816) x4  6 O 2.84-3.09
O (0.0465, 0.0000, 0.3726) x4  1 Ti 1.74
O (0.0931, 0.0000, 0.1788) x4  1 Ti 1.80
O (0.1295, 0.0000, 0.9594) x4  2 Ti 1.87-1.88
O (0.1578, 0.5000, 0.3546) x4  3 Ti 1.98-2.02
O (0.1668, 0.0000, 0.7407) x4  2 Ti 1.82-2.01
O (0.1855, 0.0000, 0.5267) x4  1 Ti 1.78
O (0.1954, 0.5000, 0.1404) x4  3 Ti 1.98-2.17
O (0.2316, 0.5000, 0.9218) x4  3 Ti 1.97-2.20
O (0.2333, 0.0000, 0.2989) x4  3 Ti 1.96-2.18

=====

[12]
Entry from the Alexandria database: crystalline LaCeHg2 at its relaxed geometry (PBE-GGA).

ΔE_f (meV per atom): -386
ρ (Mg/m³): 9.7

a b c (Å): 7.7471 7.7471 7.7471
angles (deg): 90.00 90.00 90.00
Last column: nearest neighbours and their distance in Å.
Space group Fm-3m (No. 225)
One atom of each set of equivalent atoms:
La (0.0000, 0.0000, 0.0000) x4  8 Hg 3.35
Ce (0.0000, 0.0000, 0.5000) x4  8 Hg 3.35
Hg (0.2500, 0.2500, 0.2500) x8  4 La 3.35, 4 Ce 3.35

=====

[13]
Entry from the Alexandria database: crystalline KCSe2Br at its relaxed geometry (PBE-GGA).

Energy relative to the lowest polymorph listed for this composition (meV per atom): 1558
Energy relative to the elements, uncorrected (eV per formula unit): 9.68
ρ (Mg/m³): 1.8

a b c (Å): 6.5119 6.5119 6.2408
angles (deg): 90.00 90.00 90.00
Last column: nearest neighbours and their distance in Å.
Space group P4/mmm (No. 123)
One atom of each set of equivalent atoms:
K (0.0000, 0.0000, 0.0000) x1  2 Br 3.12, 4 Se 3.26
C (0.5000, 0.5000, 0.5000) x1  8 Se 4.51, 4 Br 4.60
Se (0.0000, 0.5000, 0.0000) x2  2 K 3.26
Br (0.0000, 0.0000, 0.5000) x1  2 K 3.12

=====

[14]
Entry from the Alexandria database: crystalline TbPm2Tc9 at its relaxed geometry (PBE-GGA).

ΔE_f (meV per atom): 29
ρ (Mg/m³): 10.0

a b c (Å): 9.6350 5.2897 9.4435
angles (deg): 90.00 112.81 90.00
Last column: nearest neighbours and their distance in Å.
Space group C2/m (No. 12)
One atom of each set of equivalent atoms:
Tb (0.0000, 0.0000, 0.0000) x2  10 Tc 2.99-3.33
Pm (0.1420, 0.0000, 0.4295) x4  12 Tc 3.12-3.29, 3 Pm 3.31-3.48
Tc (0.0000, 0.5000, 0.5000) x2  6 Tc 2.66-2.91
Tc (0.0775, 0.5000, 0.2312) x4  6 Tc 2.58-2.85
Tc (0.1721, 0.2455, 0.7496) x8  7 Tc 2.60-2.82
Tc (0.1855, 0.5000, 0.9897) x4  6 Tc 2.58-2.85

=====

[15]
Entry from the Alexandria database: crystalline AsPdW2N at its relaxed geometry (PBE-GGA).

Energy relative to the elements, uncorrected (eV per formula unit): 2.00
ρ (Mg/m³): 12.9

a b c (Å): 4.1476 4.1476 4.2132
angles (deg): 90.00 90.00 90.00
Last column: nearest neighbours and their distance in Å.
Space group P4/mmm (No. 123)
One atom of each set of equivalent atoms:
As (0.0000, 0.0000, 0.0000) x1  4 Pd 2.93, 8 W 2.96
Pd (0.5000, 0.5000, 0.0000) x1  2 N 2.11
W (0.0000, 0.5000, 0.5000) x2  2 N 2.07
N (0.5000, 0.5000, 0.5000) x1  4 W 2.07, 2 Pd 2.11

=====

[16]
Entry from the Alexandria database: crystalline Dy3MgIn2 at its relaxed geometry (PBE-GGA).

Energy relative to the lowest polymorph listed for this composition (meV per atom): 0
ΔE_f (meV per atom): -372
ρ (Mg/m³): 7.8

a b c (Å): 5.3124 5.3124 12.9972
angles (deg): 90.00 90.00 120.00
Last column: nearest neighbours and their distance in Å.
Space group P-3m1 (No. 164)
One atom of each set of equivalent atoms:
Dy (0.0000, 0.0000, 0.2484) x2  5 In 3.21-3.27, 3 Mg 3.25
Dy (0.3333, 0.6667, 0.4189) x2  4 In 3.16-3.24, 4 Mg 3.24-3.27
Dy (0.3333, 0.6667, 0.9193) x2  7 In 3.24-3.33, 1 Mg 3.26
Mg (0.3333, 0.6667, 0.6683) x2  8 Dy 3.24-3.27
In (0.0000, 0.0000, 0.0000) x1  8 Dy 3.23-3.24
In (0.0000, 0.0000, 0.5000) x1  8 Dy 3.24-3.27
In (0.3333, 0.6667, 0.1756) x2  8 Dy 3.16-3.33

=====

[17]
Entry from the Alexandria database: crystalline CaTe3Ir at its relaxed geometry (PBE-GGA).

Energy relative to the lowest polymorph listed for this composition (meV per atom): 1310
Energy relative to the elements, uncorrected (eV per formula unit): 5.88
ρ (Mg/m³): 5.6

a b c (Å): 5.6685 5.6685 5.6685
angles (deg): 90.00 90.00 90.00
Last column: nearest neighbours and their distance in Å.
Space group Pm-3m (No. 221)
One atom of each set of equivalent atoms:
Ca (0.0000, 0.0000, 0.0000) x1  6 Te 2.83
Te (0.0000, 0.0000, 0.5000) x3  2 Ca 2.83
Ir (0.5000, 0.5000, 0.5000) x1  12 Te 4.01

=====

[18]
Entry from the Alexandria database: crystalline Y5HoPt6 at its relaxed geometry (PBE-GGA).

ΔE_f (meV per atom): -1209
ρ (Mg/m³): 11.5

a b c (Å): 15.7030 6.9294 4.9746
angles (deg): 90.00 108.41 90.00
Last column: nearest neighbours and their distance in Å.
Space group C2/m (No. 12)
One atom of each set of equivalent atoms:
Y (0.0000, 0.0000, 0.0000) x2  8 Pt 3.02-3.04
Y (0.1665, 0.0000, 0.6667) x4  8 Pt 3.04
Y (0.1672, 0.5000, 0.6673) x4  8 Pt 3.02-3.05
Ho (0.0000, 0.5000, 0.0000) x2  8 Pt 3.00-3.02
Pt (0.0000, 0.2534, 0.5000) x4  2 Ho 3.02, 6 Y 3.02-3.04
Pt (0.1652, 0.2517, 0.1656) x8  1 Ho 3.00, 7 Y 3.02-3.05

=====

[19]
Entry from the Alexandria database: crystalline Sm3Er3TlIn2 at its relaxed geometry (PBE-GGA).

ΔE_f (meV per atom): -275
ρ (Mg/m³): 8.7

a b c (Å): 9.0201 9.0201 3.7441
angles (deg): 90.00 90.00 120.00
Last column: nearest neighbours and their distance in Å.
Space group P-62m (No. 189)
One atom of each set of equivalent atoms:
Sm (0.0000, 0.7101, 0.0000) x3  2 Tl 3.22, 2 In 3.22, 2 Er 3.50
Er (0.0000, 0.3817, 0.5000) x3  4 In 3.38, 1 Tl 3.44, 6 Sm 3.50-3.63, 2 Er 3.74
Tl (0.0000, 0.0000, 0.5000) x1  6 Sm 3.22, 3 Er 3.44
In (0.3333, 0.6667, 0.0000) x2  3 Sm 3.22, 6 Er 3.38

=====

Quick rundown of Fermi-level density of states, same order as above: 0.81; 1.91; 0.36; 0.01; 0.77; 0.29; 1.57; 2.52; 3.50; 0.54; 0.00; 5.48; 2.88; 1.04; 1.05; 0.65; 2.60; 0.59; 1.03 states/eV/atom